First-principles (PBE-GGA) data for a relaxed La2CoCCl crystal, as listed in Alexandria.

Its uncorrected formation energy is -0.69 eV/atom. As for the crystal system: tetragonal.

The space group is P4/mmm (No. 123) and the conventional cell measures 5.319, 5.319 and 3.616 Å, with angles of 90.00, 90.00 and 90.00 degrees. Symmetry generates all atoms from La at (0.000, 0.500, 0.000), Co at (0.000, 0.000, 0.500), C at (0.000, 0.000, 0.000) and Cl at (0.500, 0.500, 0.500).